# PBE with a Hubbard U TiVO4, relaxed
data_TiVO4
_chemical_formula_sum 'Ti2 V2 O8'
_cell_length_a 3.871
_cell_length_b 3.726
_cell_length_c 9.726
_cell_angle_alpha 90.00
_cell_angle_beta 90.00
_cell_angle_gamma 90.00
_symmetry_space_group_name_H-M 'P 1'
_symmetry_Int_Tables_number 1
loop_
_symmetry_equiv_pos_as_xyz
'x,y,z'
loop_
_atom_site_label
_atom_site_fract_x
_atom_site_fract_y
_atom_site_fract_z
_atom_site_occupancy
Ti1 0.000 0.242 0.000 1
Ti2 0.500 0.758 0.500 1
V1 0.000 0.716 0.262 1
V2 0.500 0.284 0.762 1
O1 0.000 0.246 0.220 1
O2 0.000 0.246 0.802 1
O3 0.000 0.746 0.051 1
O4 0.000 0.749 0.461 1
O5 0.500 0.251 0.961 1
O6 0.500 0.254 0.551 1
O7 0.500 0.754 0.302 1
O8 0.500 0.754 0.720 1
# Space-group type = Pmn2_1 (31)
# E = -8.354 eV/atom
# Total magnetic moment = 1.00 μB per formula unit